A geometry-optimized Y2PuHg structure, computed with PBE-GGA.

Unit cell a=3.6062 b=3.6062 c=10.5840 alpha=80.18 beta=80.18 gamma=59.98
With the nearest neighbours (Å) after each atom.
Element x y z (fractional)
1 Y 0.0773 0.0773 0.7680  3 Hg 3.18, 3 Pu 3.47
2 Y 0.2561 0.2561 0.2317  3 Hg 3.18, 3 Pu 3.48
3 Pu 0.5001 0.5001 0.5001  6 Y 3.47-3.48, 6 Pu 3.61
4 Hg 0.6666 0.6666 0.0002  6 Y 3.18

Summary:
The value obtained for the calculated formation energy is -0.08 eV per atom. For the energy above the lowest structure with this stoichiometry, the calculation gives 59 meV/atom. The calculation puts the volume at 29.211 Å³/atom.